The following is a DFT calculation (PBE+U) of a geometry-optimized SrDy2WO8 structure.

Results
- Total energy: -89.0 eV/cell
- Spin magnetization: 0.00 μB/f.u.
- Space-group type: P-1 (2)

Cell: 5.4244 4.1694 6.9743 Å, 73.05 90.46 89.08°
With the nearest neighbours (Å) after each atom.
Atoms (fractional coordinates):
Sr 0.0000 0.0000 0.5000  10 O 2.60-2.84
Dy 0.5181 0.3790 0.7957  7 O 2.30-2.48
Dy 0.4819 0.6210 0.2043  7 O 2.30-2.48
W 0.0000 0.0000 0.0000  6 O 1.92-1.99
O 0.0586 0.6441 0.2533  1 W 1.97
O 0.7007 0.8081 0.9132  1 W 1.99
O 0.7666 0.1905 0.1433  1 W 1.92
O 0.9414 0.3559 0.7467  1 W 1.97
O 0.2993 0.1919 0.0868  1 W 1.99
O 0.2334 0.8095 0.8567  1 W 1.92
O 0.5070 0.8220 0.4984  1 O 1.49
O 0.4930 0.1780 0.5016  1 O 1.49